An optimized crystal structure of CdNiOs2, computed with PBE.

SG	Pmmm
mass density	15.2	Mg/m³
DFT formation energy	0.610	eV/atom
raw total energy	-6.68	eV per atom
DOS(E_F)	7.03	states/eV/cell

The structure in POSCAR format:
```
CdNiOs2
1.0
2.782 0.000 0.000
0.000 4.563 0.000
0.000 0.000 4.743
Cd Ni Os
1 1 2
direct
0.000 0.000 0.000
0.500 0.500 0.000
0.000 0.500 0.500
0.500 0.000 0.500
```